VASP calculation (PBE) on a relaxed CaAl3Au crystal.

```
data_CaAl3Au
_chemical_formula_sum 'Ca2 Al6 Au2'
_cell_length_a 6.3888
_cell_length_b 6.3888
_cell_length_c 6.0449
_cell_angle_alpha 90.00
_cell_angle_beta 90.00
_cell_angle_gamma 120.00
_symmetry_space_group_name_H-M 'P 63/m m c'
_symmetry_Int_Tables_number 194
_symmetry_space_group_name_Hall '-P 6c 2c'
loop_
_atom_site_label
_atom_site_fract_x
_atom_site_fract_y
_atom_site_fract_z
Ca1 0.3333 0.6667 0.2500
Al1 0.1936 0.3872 0.7500
Au1 0.0000 0.0000 0.0000
```

* DOS(E_F): 0.7744 states/eV per atom
* final energy: -3.53 eV per atom
* calculated volume: 21.369 Å³/atom


VASP calculation (PBE) on a relaxed Ca3AlAu3 crystal.

```
data_Ca3AlAu3
_chemical_formula_sum 'Ca12 Al4 Au12'
_cell_length_a 11.327
_cell_length_b 4.322
_cell_length_c 14.992
_cell_angle_alpha 90.00
_cell_angle_beta 110.55
_cell_angle_gamma 90.00
_symmetry_space_group_name_H-M 'C 1 2/m 1'
_symmetry_Int_Tables_number 12
_symmetry_space_group_name_Hall '-C 2y'
loop_
_atom_site_label
_atom_site_fract_x
_atom_site_fract_y
_atom_site_fract_z
Ca1 0.018 0.000 0.382
Ca2 0.104 0.000 0.921
Ca3 0.243 0.000 0.230
Al1 0.235 0.500 0.406
Au1 0.037 0.500 0.242
Au2 0.119 0.500 0.078
Au3 0.138 0.500 0.547
```

* DOS(E_F): 0.4962 states/eV per atom
* final energy: -3.53 eV per atom
* calculated volume: 24.545 Å³/atom


VASP calculation (PBE) on a relaxed Ca2Al2Au5 crystal.

```
data_Ca2Al2Au5
_chemical_formula_sum 'Ca2 Al2 Au5'
_cell_length_a 4.634
_cell_length_b 4.634
_cell_length_c 8.714
_cell_angle_alpha 90.00
_cell_angle_beta 90.00
_cell_angle_gamma 90.00
_symmetry_space_group_name_H-M 'P 4/m m m'
_symmetry_Int_Tables_number 123
_symmetry_space_group_name_Hall '-P 4 2'
loop_
_atom_site_label
_atom_site_fract_x
_atom_site_fract_y
_atom_site_fract_z
Ca1 0.000 0.000 0.000
Ca2 0.000 0.000 0.500
Al1 0.500 0.500 0.151
Au1 0.000 0.500 0.272
Au2 0.500 0.500 0.500
```

* DOS(E_F): 0.3033 states/eV per atom
* final energy: -3.69 eV per atom
* calculated volume: 20.793 Å³/atom


VASP calculation (PBE) on a relaxed CaAl6Au12 crystal.

```
data_CaAl6Au12
_chemical_formula_sum 'Ca3 Al18 Au36'
_cell_length_a 13.0423
_cell_length_b 13.0423
_cell_length_c 7.1039
_cell_angle_alpha 90.00
_cell_angle_beta 90.00
_cell_angle_gamma 120.00
_symmetry_space_group_name_H-M 'R -3'
_symmetry_Int_Tables_number 148
_symmetry_space_group_name_Hall '-R 3'
loop_
_atom_site_label
_atom_site_fract_x
_atom_site_fract_y
_atom_site_fract_z
Ca1 0.0000 0.0000 0.0000
Al1 0.0153 0.7570 0.2997
Au1 0.0177 0.1754 0.3657
Au2 0.0649 0.5169 0.6719
```

* offset from the most stable computed form: 15.9 meV/atom
* DOS(E_F): 0.3573 states/eV per atom
* final energy: -3.69 eV per atom
* calculated volume: 18.360 Å³/atom


VASP calculation (PBE) on a relaxed CaAl4Au8 crystal.

```
data_CaAl4Au8
_chemical_formula_sum 'Ca2 Al8 Au16'
_cell_length_a 9.168
_cell_length_b 9.168
_cell_length_c 5.617
_cell_angle_alpha 90.00
_cell_angle_beta 90.00
_cell_angle_gamma 90.00
_symmetry_space_group_name_H-M 'I 4/m m m'
_symmetry_Int_Tables_number 139
_symmetry_space_group_name_Hall '-I 4 2'
loop_
_atom_site_label
_atom_site_fract_x
_atom_site_fract_y
_atom_site_fract_z
Ca1 0.000 0.000 0.000
Al1 0.250 0.250 0.250
Au1 0.000 0.222 0.500
Au2 0.000 0.325 0.000
```

* DOS(E_F): 0.3898 states/eV per atom
* final energy: -3.77 eV per atom
* calculated volume: 18.161 Å³/atom


VASP calculation (PBE) on a relaxed Ca4AlAu3 crystal.

```
data_Ca4AlAu3
_chemical_formula_sum 'Ca4 Al1 Au3'
_cell_length_a 4.068
_cell_length_b 4.549
_cell_length_c 11.347
_cell_angle_alpha 90.00
_cell_angle_beta 90.00
_cell_angle_gamma 90.00
_symmetry_space_group_name_H-M 'P m m 2'
_symmetry_Int_Tables_number 25
_symmetry_space_group_name_Hall 'P 2 -2'
loop_
_atom_site_label
_atom_site_fract_x
_atom_site_fract_y
_atom_site_fract_z
Ca1 0.000 0.000 0.000
Ca2 0.000 0.500 0.280
Ca3 0.500 0.000 0.489
Ca4 0.500 0.500 0.786
Al1 0.000 0.000 0.702
Au1 0.000 0.500 0.575
Au2 0.500 0.000 0.219
Au3 0.500 0.500 0.058
```

* DOS(E_F): 0.6011 states/eV per atom
* final energy: -3.36 eV per atom
* calculated volume: 26.248 Å³/atom